Entry 1:
VASP calculation (PBE) on an optimized crystal structure of CaPd12Pb6.

Cell lengths 7.708, 7.708, 7.708 Å; angles 105.36, 105.36, 105.36 degrees
Positions (direct):
Ca (0.000, 0.000, 0.000)
Pd (0.887, 0.113, 0.500)
Pd (0.877, 0.637, 0.637)
Pd (0.637, 0.637, 0.877)
Pd (0.363, 0.123, 0.363)
Pd (0.363, 0.363, 0.123)
Pd (0.123, 0.363, 0.363)
Pd (0.113, 0.500, 0.887)
Pd (0.500, 0.887, 0.113)
Pd (0.113, 0.887, 0.500)
Pd (0.887, 0.500, 0.113)
Pd (0.500, 0.113, 0.887)
Pd (0.637, 0.877, 0.637)
Pb (0.701, 0.281, 0.281)
Pb (0.281, 0.281, 0.701)
Pb (0.281, 0.701, 0.281)
Pb (0.719, 0.719, 0.299)
Pb (0.299, 0.719, 0.719)
Pb (0.719, 0.299, 0.719)

## Properties
SG	R-3m, No. 166


Entry 2:
VASP calculation (PBE) on an optimized crystal structure of Ca11Pd4Pb9.

Cell lengths 3.822, 13.621, 13.621 Å; angles 112.78, 90.00, 90.00 degrees
Positions (direct):
Ca (0.000, 0.587, 0.928)
Ca (0.000, 0.413, 0.072)
Ca (0.000, 0.928, 0.587)
Ca (0.000, 0.072, 0.413)
Ca (0.000, 0.625, 0.375)
Ca (0.000, 0.375, 0.625)
Ca (0.000, 0.838, 0.162)
Ca (0.000, 0.162, 0.838)
Ca (0.000, 0.000, 0.000)
Ca (0.000, 0.688, 0.688)
Ca (0.000, 0.312, 0.312)
Pd (0.500, 0.552, 0.756)
Pd (0.500, 0.448, 0.244)
Pd (0.500, 0.756, 0.552)
Pd (0.500, 0.244, 0.448)
Pb (0.500, 0.626, 0.157)
Pb (0.500, 0.374, 0.843)
Pb (0.500, 0.157, 0.626)
Pb (0.500, 0.843, 0.374)
Pb (0.500, 0.779, 0.924)
Pb (0.500, 0.221, 0.076)
Pb (0.500, 0.924, 0.779)
Pb (0.500, 0.076, 0.221)
Pb (0.500, 0.500, 0.500)

## Properties
SG	Cmmm, No. 65


Entry 3:
VASP calculation (PBE) on an optimized crystal structure of Ca3Pd6Pb2.

Cell lengths 8.548, 8.548, 8.548 Å; angles 109.47, 109.47, 109.47 degrees
Positions (direct):
Ca (0.703, 0.000, 0.703)
Ca (0.297, 0.000, 0.297)
Ca (0.000, 0.297, 0.297)
Ca (0.000, 0.703, 0.703)
Ca (0.297, 0.297, 0.000)
Ca (0.703, 0.703, 0.000)
Pd (0.655, 0.311, 0.655)
Pd (0.655, 0.000, 0.345)
Pd (0.345, 0.000, 0.655)
Pd (0.345, 0.689, 0.345)
Pd (0.000, 0.655, 0.345)
Pd (0.689, 0.345, 0.345)
Pd (0.311, 0.655, 0.655)
Pd (0.000, 0.345, 0.655)
Pd (0.345, 0.655, 0.000)
Pd (0.655, 0.655, 0.311)
Pd (0.345, 0.345, 0.689)
Pd (0.655, 0.345, 0.000)
Pb (0.000, 0.500, 0.000)
Pb (0.500, 0.000, 0.000)
Pb (0.000, 0.000, 0.500)
Pb (0.500, 0.500, 0.500)

## Properties
SG	Im-3m, No. 229


Entry 4:
VASP calculation (PBE) on an optimized crystal structure of Ca3PdPb4.

Cell lengths 4.713, 9.352, 7.670 Å; angles 127.56, 107.89, 90.00 degrees
Positions (direct):
Ca (0.165, 0.165, 0.331)
Ca (0.835, 0.835, 0.669)
Ca (0.000, 0.500, 0.000)
Pd (0.500, 0.000, 0.000)
Pb (0.358, 0.112, 0.715)
Pb (0.642, 0.888, 0.285)
Pb (0.642, 0.396, 0.285)
Pb (0.358, 0.604, 0.715)

## Properties
SG	Immm, No. 71


Entry 5:
VASP calculation (PBE) on an optimized crystal structure of CaPdPb2.

Cell lengths 6.004, 8.315, 16.757 Å; angles 90.00, 90.00, 90.00 degrees
Positions (direct):
Ca (0.474, 0.250, 0.143)
Ca (0.974, 0.750, 0.357)
Ca (0.526, 0.750, 0.857)
Ca (0.026, 0.250, 0.643)
Ca (0.753, 0.250, 0.390)
Ca (0.253, 0.750, 0.110)
Ca (0.247, 0.750, 0.610)
Ca (0.747, 0.250, 0.890)
Pd (0.251, 0.250, 0.328)
Pd (0.751, 0.750, 0.172)
Pd (0.749, 0.750, 0.672)
Pd (0.249, 0.250, 0.828)
Pd (0.987, 0.250, 0.073)
Pd (0.487, 0.750, 0.427)
Pd (0.013, 0.750, 0.927)
Pd (0.513, 0.250, 0.573)
Pb (0.983, 0.050, 0.216)
Pb (0.483, 0.950, 0.284)
Pb (0.017, 0.550, 0.784)
Pb (0.517, 0.450, 0.716)
Pb (0.017, 0.950, 0.784)
Pb (0.517, 0.050, 0.716)
Pb (0.983, 0.450, 0.216)
Pb (0.483, 0.550, 0.284)
Pb (0.750, 0.548, 0.034)
Pb (0.250, 0.452, 0.466)
Pb (0.250, 0.048, 0.966)
Pb (0.750, 0.952, 0.534)
Pb (0.250, 0.452, 0.966)
Pb (0.750, 0.548, 0.534)
Pb (0.750, 0.952, 0.034)
Pb (0.250, 0.048, 0.466)

## Properties
SG	Pnma, No. 62


Entry 6:
VASP calculation (PBE) on an optimized crystal structure of CaPdPb3.

Cell lengths 7.141, 7.141, 7.141 Å; angles 67.69, 67.69, 67.69 degrees
Positions (direct):
Ca (0.930, 0.930, 0.930)
Ca (0.430, 0.430, 0.430)
Pd (0.752, 0.752, 0.752)
Pd (0.252, 0.252, 0.252)
Pb (0.993, 0.954, 0.389)
Pb (0.454, 0.493, 0.889)
Pb (0.493, 0.889, 0.454)
Pb (0.889, 0.454, 0.493)
Pb (0.389, 0.993, 0.954)
Pb (0.954, 0.389, 0.993)

## Properties
SG	R3c, No. 161


Entry 7:
VASP calculation (PBE) on an optimized crystal structure of Ca3Pd3Pb.

Cell lengths 4.485, 5.829, 14.021 Å; angles 90.00, 90.00, 112.62 degrees
Positions (direct):
Ca (0.201, 0.402, 0.896)
Ca (0.799, 0.598, 0.104)
Ca (0.201, 0.402, 0.604)
Ca (0.799, 0.598, 0.396)
Ca (0.477, 0.955, 0.750)
Ca (0.523, 0.045, 0.250)
Pd (0.909, 0.818, 0.902)
Pd (0.091, 0.182, 0.098)
Pd (0.909, 0.818, 0.598)
Pd (0.091, 0.182, 0.402)
Pd (0.757, 0.514, 0.750)
Pd (0.243, 0.486, 0.250)
Pb (0.500, 0.000, 0.000)
Pb (0.500, 0.000, 0.500)

## Properties
SG	Cmcm, No. 63


Entry 8:
VASP calculation (PBE) on an optimized crystal structure of Ca5Pd2Pb.

Cell lengths 7.960, 7.960, 9.184 Å; angles 115.68, 115.68, 90.00 degrees
Positions (direct):
Ca (0.533, 0.697, 0.730)
Ca (0.803, 0.967, 0.270)
Ca (0.000, 0.000, 0.000)
Ca (0.500, 0.500, 0.000)
Ca (0.197, 0.033, 0.730)
Ca (0.697, 0.197, 0.730)
Ca (0.033, 0.533, 0.730)
Ca (0.303, 0.803, 0.270)
Ca (0.967, 0.467, 0.270)
Ca (0.467, 0.303, 0.270)
Pd (0.126, 0.374, 0.000)
Pd (0.626, 0.126, 0.000)
Pd (0.374, 0.874, 0.000)
Pd (0.874, 0.626, 0.000)
Pb (0.750, 0.750, 0.500)
Pb (0.250, 0.250, 0.500)

## Properties
SG	I4/mcm, No. 140


Entry 9:
VASP calculation (PBE) on an optimized crystal structure of Ca2Pd2Pb.

Cell lengths 5.627, 5.627, 5.687 Å; angles 60.35, 60.35, 90.00 degrees
Positions (direct):
Pb (0.000, 0.000, 0.000)
Ca (0.750, 0.250, 0.500)
Ca (0.250, 0.750, 0.500)
Pd (0.339, 0.339, 0.322)
Pd (0.661, 0.661, 0.678)

## Properties
SG	I4/mmm, No. 139


Entry 10:
VASP calculation (PBE) on an optimized crystal structure of Ca4Pd3Pb.

Cell lengths 5.048, 7.513, 10.087 Å; angles 90.00, 90.00, 90.00 degrees
Positions (direct):
Pb (0.000, 0.500, 0.000)
Pb (0.000, 0.500, 0.500)
Ca (0.500, 0.768, 0.000)
Ca (0.500, 0.768, 0.500)
Ca (0.500, 0.232, 0.000)
Ca (0.500, 0.232, 0.500)
Ca (0.001, 0.768, 0.750)
Ca (0.999, 0.768, 0.250)
Ca (0.999, 0.232, 0.250)
Ca (0.001, 0.232, 0.750)
Pd (0.000, 0.000, 0.000)
Pd (0.000, 0.000, 0.500)
Pd (0.501, 0.000, 0.750)
Pd (0.499, 0.000, 0.250)
Pd (0.502, 0.500, 0.750)
Pd (0.498, 0.500, 0.250)

## Properties
SG	Pmma, No. 51


Entry 11:
VASP calculation (PBE) on an optimized crystal structure of CaPd2Pb2.

Cell lengths 4.729, 4.729, 6.563 Å; angles 68.88, 68.88, 90.00 degrees
Positions (direct):
Pb (0.750, 0.250, 0.500)
Pb (0.250, 0.750, 0.500)
Ca (0.000, 0.000, 0.000)
Pd (0.383, 0.383, 0.233)
Pd (0.617, 0.617, 0.767)

## Properties
SG	I4/mmm, No. 139


Entry 12:
VASP calculation (PBE) on an optimized crystal structure of Ca2PdPb2.

Cell lengths 7.475, 7.475, 4.923 Å; angles 90.00, 90.00, 90.00 degrees
Positions (direct):
Pb (0.353, 0.853, 0.000)
Pb (0.853, 0.647, 0.000)
Pb (0.647, 0.147, 0.000)
Pb (0.147, 0.353, 0.000)
Ca (0.165, 0.665, 0.500)
Ca (0.665, 0.835, 0.500)
Ca (0.835, 0.335, 0.500)
Ca (0.335, 0.165, 0.500)
Pd (0.000, 0.000, 0.000)
Pd (0.500, 0.500, 0.000)

## Properties
SG	P4/mbm, No. 127


Going through the records in order, we get uncorrected energy values of -89.95 -90.35 -101.45 -29.27 -131.72 -38.95 -59.51 -58.01 -20.45 -64.20 -21.47 -38.06 eV/cell.
Going through the records in order, we get N(E_F) values of 9.3 9.1 4.2 3.1 1.6 2.8 3.8 3.4 3.3 3.2 3.2 1.7 states/eV/f.u..